Entry 1:
## Tm3Fe8Co (GGA-PBE)

Data for crystalline Tm3Fe8Co at its relaxed geometry.

a = 4.9984 Å, b = 4.9984 Å, c = 24.4496 Å
α = 90.00°, β = 90.00°, γ = 120.00°
Space group R3m (No. 160, hexagonal axes)
Inequivalent atoms, fractional coordinates:
Tm  0.0000  0.0000  0.0000 x3
Tm  0.0000  0.0000  0.1284 x3
Tm  0.0000  0.0000  0.5100 x3
Fe  0.0000  0.0000  0.3164 x3
Fe  0.0000  0.0000  0.8166 x3
Fe  0.1670  0.3340  0.9018 x9
Fe  0.1682  0.3363  0.3977 x9
Co  0.0000  0.0000  0.6311 x3



Entry 2:
## Tm3Fe4Co4 (GGA-PBE)

Data for crystalline Tm3Fe4Co4 at its relaxed geometry.

a = 7.076 Å, b = 7.076 Å, c = 7.076 Å
α = 90.00°, β = 90.00°, γ = 90.00°
Space group I-43m (No. 217)
Inequivalent atoms, fractional coordinates:
Tm  0.000  0.000  0.500 x6
Fe  0.131  0.131  0.131 x8
Co  0.189  0.189  0.811 x8



Entry 3:
## TmFe2Co (GGA-PBE)

Data for crystalline TmFe2Co at its relaxed geometry.

a = 5.0375 Å, b = 5.0375 Å, c = 24.2625 Å
α = 90.00°, β = 90.00°, γ = 120.00°
Space group R-3m (No. 166, hexagonal axes)
Inequivalent atoms, fractional coordinates:
Tm  0.0000  0.0000  0.0000 x3
Tm  0.0000  0.0000  0.1422 x6
Fe  0.0008  0.5004  0.9179 x18
Co  0.0000  0.0000  0.3326 x6
Co  0.0000  0.0000  0.5000 x3



Entry 4:
## TmFeCo2 (GGA-PBE)

Data for crystalline TmFeCo2 at its relaxed geometry.

a = 3.068 Å, b = 3.068 Å, c = 6.208 Å
α = 90.00°, β = 90.00°, γ = 90.00°
Space group P4/mmm (No. 123)
Inequivalent atoms, fractional coordinates:
Tm  0.000  0.000  0.000 x1
Fe  0.000  0.000  0.500 x1
Co  0.500  0.500  0.292 x2

E above lowest polymorph = 0.00 kcal/mol of atoms



Entry 5:
## TmFe3Co2 (GGA-PBE)

Data for crystalline TmFe3Co2 at its relaxed geometry.

a = 4.9751 Å, b = 4.9751 Å, c = 3.9698 Å
α = 90.00°, β = 90.00°, γ = 120.00°
Space group P6/mmm (No. 191)
Inequivalent atoms, fractional coordinates:
Tm  0.0000  0.0000  0.0000 x1
Fe  0.0000  0.5000  0.5000 x3
Co  0.3333  0.6667  0.0000 x2



Entry 6:
## Tm3FeCo8 (GGA-PBE)

Data for crystalline Tm3FeCo8 at its relaxed geometry.

a = 4.9365 Å, b = 4.9365 Å, c = 24.1838 Å
α = 90.00°, β = 90.00°, γ = 120.00°
Space group R3m (No. 160, hexagonal axes)
Inequivalent atoms, fractional coordinates:
Tm  0.0000  0.0000  0.0000 x3
Tm  0.0000  0.0000  0.1283 x3
Tm  0.0000  0.0000  0.6176 x3
Fe  0.0000  0.0000  0.4957 x3
Co  0.0000  0.0000  0.3121 x3
Co  0.0000  0.0000  0.8123 x3
Co  0.0036  0.5018  0.0641 x9
Co  0.1672  0.3345  0.8931 x9



Entry 7:
## TmFe2Co3 (GGA-PBE)

Data for crystalline TmFe2Co3 at its relaxed geometry.

a = 9.261 Å, b = 7.931 Å, c = 4.648 Å
α = 90.00°, β = 90.00°, γ = 90.00°
Space group Cmcm (No. 63)
Inequivalent atoms, fractional coordinates:
Tm  0.000  0.192  0.250 x4
Fe  0.220  0.500  0.000 x8
Co  0.000  0.438  0.750 x4
Co  0.197  0.238  0.750 x8



Entry 8:
## TmFe4Co (GGA-PBE)

Data for crystalline TmFe4Co at its relaxed geometry.

a = 6.934 Å, b = 6.934 Å, c = 6.934 Å
α = 90.00°, β = 90.00°, γ = 90.00°
Space group F-43m (No. 216)
Inequivalent atoms, fractional coordinates:
Tm  0.000  0.000  0.000 x4
Fe  0.124  0.124  0.376 x16
Co  0.250  0.250  0.750 x4



no.,density (g/cm3),formation energy from the elements (eV/f.u.)
1,9.53,-0.82
2,9.05,-0.14
3,9.52,-0.66
4,9.74,-0.05
5,8.87,-0.72
6,10.09,-2.08
7,8.90,-0.11
8,8.99,0.03